No. 1
First-principles (GGA-PBE) data for CaAs2Au after structural relaxation, as listed in Alexandria.

Results
* N(E_F): 3.0 states/eV/f.u.
* ΔE_f: -0.220 eV per atom
* spin magnetization: 0.00 μB per cell

Unit cell a=4.926 b=4.926 c=4.926 alpha=60.00 beta=60.00 gamma=60.00
Sites, in units of the cell vectors:
As 0.250 0.250 0.250
As 0.750 0.750 0.750
Au 0.500 0.500 0.500
Ca 0.000 0.000 0.000

No. 2
First-principles (GGA-PBE) data for Ca2AsAu2 after structural relaxation, as listed in Alexandria.

Results
* N(E_F): 1.5 states/eV/f.u.
* distance to the lowest polymorph of the same formula: 0.120 eV per atom
* ΔE_f: -0.577 eV per atom
* spin magnetization: 0.00 μB per cell

Unit cell a=8.189 b=8.189 c=3.754 alpha=90.00 beta=90.00 gamma=90.00
Sites, in units of the cell vectors:
As 0.000 0.000 0.000
As 0.500 0.500 0.000
Au 0.123 0.623 0.500
Au 0.623 0.877 0.500
Au 0.877 0.377 0.500
Au 0.377 0.123 0.500
Ca 0.328 0.828 0.000
Ca 0.828 0.672 0.000
Ca 0.672 0.172 0.000
Ca 0.172 0.328 0.000

No. 3
First-principles (GGA-PBE) data for CaAs2Au after structural relaxation, as listed in Alexandria.

Results
* N(E_F): 3.3 states/eV/f.u.
* ΔE_f: -0.230 eV per atom
* spin magnetization: 0.00 μB per cell

Unit cell a=3.893 b=3.898 c=5.861 alpha=90.00 beta=90.00 gamma=90.00
Sites, in units of the cell vectors:
As 0.000 0.000 0.040
As 0.000 0.000 0.460
Au 0.500 0.500 0.250
Ca 0.500 0.500 0.750

No. 4
First-principles (GGA-PBE) data for CaAsAu2 after structural relaxation, as listed in Alexandria.

Results
* N(E_F): 1.1 states/eV/f.u.
* ΔE_f: -0.414 eV per atom
* spin magnetization: 0.00 μB per cell

Unit cell a=5.046 b=5.046 c=5.046 alpha=125.27 beta=125.27 gamma=81.09
Sites, in units of the cell vectors:
As 0.750 0.250 0.500
Au 0.000 0.000 0.000
Au 0.250 0.750 0.500
Ca 0.500 0.500 0.000

No. 5
First-principles (GGA-PBE) data for CaAsAu2 after structural relaxation, as listed in Alexandria.

Results
* N(E_F): 1.0 states/eV/f.u.
* ΔE_f: -0.483 eV per atom
* spin magnetization: 0.00 μB per cell

Unit cell a=4.557 b=4.074 c=5.106 alpha=86.51 beta=90.00 gamma=90.00
Sites, in units of the cell vectors:
As 0.500 0.893 0.758
Au 0.000 0.021 0.975
Au 0.500 0.076 0.277
Ca 0.000 0.511 0.490

No. 6
First-principles (GGA-PBE) data for Ca2AsAu2 after structural relaxation, as listed in Alexandria.

Results
* N(E_F): 1.9 states/eV/f.u.
* distance to the lowest polymorph of the same formula: 0.000 eV per atom
* ΔE_f: -0.697 eV per atom
* spin magnetization: 0.00 μB per cell

Unit cell a=7.477 b=7.477 c=4.261 alpha=90.00 beta=90.00 gamma=90.00
Sites, in units of the cell vectors:
As 0.000 0.000 0.000
As 0.500 0.500 0.000
Au 0.370 0.870 0.000
Au 0.870 0.630 0.000
Au 0.630 0.130 0.000
Au 0.130 0.370 0.000
Ca 0.178 0.678 0.500
Ca 0.678 0.822 0.500
Ca 0.822 0.322 0.500
Ca 0.322 0.178 0.500

No. 7
First-principles (GGA-PBE) data for CaAsAu after structural relaxation, as listed in Alexandria.

Results
* N(E_F): 0.0 states/eV/f.u.
* ΔE_f: -0.770 eV per atom
* spin magnetization: 0.00 μB per cell

Unit cell a=6.409 b=4.819 c=4.819 alpha=74.56 beta=90.00 gamma=90.00
Sites, in units of the cell vectors:
Ca 0.217 0.570 0.141
Ca 0.717 0.882 0.447
Au 0.467 0.231 0.789
Au 0.967 0.221 0.799
As 0.717 0.483 0.048
As 0.217 0.970 0.540

No. 8
First-principles (GGA-PBE) data for CaAsAu after structural relaxation, as listed in Alexandria.

Results
* N(E_F): 0.1 states/eV/f.u.
* ΔE_f: -0.778 eV per atom
* spin magnetization: 0.00 μB per cell

Unit cell a=4.444 b=6.008 c=6.018 alpha=96.86 beta=111.61 gamma=68.35
Sites, in units of the cell vectors:
Ca 0.283 0.874 0.801
Ca 0.286 0.357 0.290
Au 0.611 0.292 0.874
Au 0.957 0.939 0.217
As 0.620 0.781 0.385
As 0.949 0.451 0.707

Look up the ΔE_f of the first one.
-0.220 eV per atom